Density functional theory data (GGA-PBE) for a geometry-optimized Nd8Te4As3Br structure.

abc: 8.7117 8.7117 21.9122
angles: 90.00 90.00 120.00
Closest atoms and distances in Å follow each position.
Space group R-3m (No. 166, hexagonal axes)
One atom of each set of equivalent atoms:
Nd: 0.0000 0.0000 0.2396 [6 per cell]  3 As 2.98, 3 Te 3.25
Nd: 0.0162 0.5081 0.7588 [18 per cell]  2 As 2.95, 1 Br 3.10, 3 Te 3.13-3.28
Te: 0.0000 0.0000 0.0000 [3 per cell]  6 Nd 3.13
Te: 0.0000 0.5000 0.0000 [9 per cell]  6 Nd 3.25-3.28
As: 0.0000 0.5000 0.5000 [9 per cell]  6 Nd 2.95-2.98
Br: 0.0000 0.0000 0.5000 [3 per cell]  6 Nd 3.10

Output
For the theoretical density, the calculation gives 6.81 g/cm³. The formation energy from raw total energies is -1.480 eV/atom.



Density functional theory data (GGA-PBE) for a geometry-optimized Nd3TeRu structure.

abc: 8.4297 4.2708 8.7015
angles: 90.00 106.22 90.00
Closest atoms and distances in Å follow each position.
Space group P2_1/m (No. 11)
One atom of each set of equivalent atoms:
Nd: 0.0646 0.2500 0.2727 [2 per cell]  3 Ru 2.83-2.92
Nd: 0.3156 0.2500 0.9342 [2 per cell]  1 Ru 2.88
Nd: 0.3201 0.7500 0.5920 [2 per cell]  2 Ru 2.91
Te: 0.3733 0.7500 0.2302 [2 per cell]  8 Nd 3.28-3.47
Ru: 0.0938 0.2500 0.6154 [2 per cell]  6 Nd 2.83-2.92, 2 Ru 3.05

Output
Its energy above the most stable polymorph in this dataset is 0.0 meV per atom. For the theoretical density, the calculation gives 7.30 g/cm³. The formation energy from raw total energies is -0.651 eV/atom.



Density functional theory data (GGA-PBE) for a geometry-optimized La4Cd2S structure.

abc: 13.3581 4.2221 9.2779
angles: 90.00 122.33 90.00
Closest atoms and distances in Å follow each position.
Space group C2/m (No. 12)
One atom of each set of equivalent atoms:
La: 0.0878 0.0000 0.3580 [4 per cell]  1 S 2.87
La: 0.1636 0.5000 0.0727 [4 per cell]  2 S 2.85
Cd: 0.1224 0.5000 0.6683 [4 per cell]  1 Cd 3.09, 6 La 3.32-3.42
S: 0.0000 0.0000 0.0000 [2 per cell]  6 La 2.85-2.87

Output
Its energy above the most stable polymorph in this dataset is 0.0 meV per atom. For the theoretical density, the calculation gives 6.10 g/cm³. The formation energy from raw total energies is -0.742 eV/atom.



Density functional theory data (GGA-PBE) for a geometry-optimized Y2PaIn structure.

abc: 7.5955 7.5955 7.5955
angles: 90.00 90.00 90.00
Closest atoms and distances in Å follow each position.
Space group Fm-3m (No. 225)
One atom of each set of equivalent atoms:
Y: 0.2500 0.2500 0.2500 [8 per cell]  4 In 3.29, 4 Pa 3.29
Pa: 0.0000 0.0000 0.0000 [4 per cell]  8 Y 3.29
In: 0.0000 0.0000 0.5000 [4 per cell]  8 Y 3.29

Output
The energy relative to the elements comes out at 0.132 eV/atom. Its energy above the most stable polymorph in this dataset is 249.6 meV per atom. For the theoretical density, the calculation gives 7.94 g/cm³.



Density functional theory data (GGA-PBE) for a geometry-optimized YTm2P3 structure.

abc: 7.9288 5.6137 11.9248
angles: 90.00 90.00 90.00
Closest atoms and distances in Å follow each position.
Space group Pnma (No. 62)
One atom of each set of equivalent atoms:
Y: 0.1256 0.2500 0.0827 [4 per cell]  6 P 2.81-2.83
Tm: 0.1244 0.2500 0.4164 [4 per cell]  6 P 2.80-2.81
Tm: 0.1251 0.2500 0.7507 [4 per cell]  6 P 2.79-2.81
P: 0.1226 0.7500 0.4153 [4 per cell]  5 Tm 2.79-2.81, 1 Y 2.82
P: 0.1250 0.7500 0.7504 [4 per cell]  4 Tm 2.80-2.81, 2 Y 2.81
P: 0.1274 0.7500 0.0843 [4 per cell]  3 Tm 2.79-2.81, 3 Y 2.81-2.83

Output
The energy relative to the elements comes out at -1.612 eV/atom. For the theoretical density, the calculation gives 6.50 g/cm³.



Density functional theory data (GGA-PBE) for a geometry-optimized AgSbPt2 structure.

abc: 3.7277 4.2264 9.1611
angles: 90.00 90.00 90.00
Closest atoms and distances in Å follow each position.
Space group Imm2 (No. 44)
One atom of each set of equivalent atoms:
Ag: 0.0000 0.0000 0.0000 [2 per cell]  8 Pt 2.83-3.15, 4 Sb 3.01-3.06
Sb: 0.0000 0.5000 0.2416 [2 per cell]  6 Pt 2.69-2.84, 2 Ag 3.01
Pt: 0.0000 0.0000 0.5297 [2 per cell]  2 Sb 2.69, 4 Ag 2.83, 2 Pt 2.97
Pt: 0.0000 0.5000 0.7776 [2 per cell]  4 Sb 2.84, 4 Ag 2.94-3.15, 4 Pt 2.97-3.10

Output
For the theoretical density, the calculation gives 14.26 g/cm³. The formation energy from raw total energies is -0.100 eV/atom.



Density functional theory data (GGA-PBE) for a geometry-optimized NaThPb2 structure.

abc: 7.7898 7.7898 7.7898
angles: 90.00 90.00 90.00
Closest atoms and distances in Å follow each position.
Space group Fm-3m (No. 225)
One atom of each set of equivalent atoms:
Na: 0.0000 0.0000 0.0000 [4 per cell]  8 Pb 3.37
Th: 0.0000 0.0000 0.5000 [4 per cell]  8 Pb 3.37
Pb: 0.2500 0.2500 0.2500 [8 per cell]  4 Th 3.37, 4 Na 3.37

Output
The energy relative to the elements comes out at -0.097 eV/atom. Its energy above the most stable polymorph in this dataset is 125.0 meV per atom. For the theoretical density, the calculation gives 9.41 g/cm³.



Density functional theory data (GGA-PBE) for a geometry-optimized Pm3AlGe3 structure.

abc: 4.0838 4.3896 18.6675
angles: 90.00 90.00 90.00
Closest atoms and distances in Å follow each position.
Space group Imm2 (No. 44)
One atom of each set of equivalent atoms:
Pm: 0.0000 0.0000 0.0000 [2 per cell]  5 Ge 3.02-3.07, 2 Al 3.10
Pm: 0.0000 0.0000 0.3676 [2 per cell]  7 Ge 3.05-3.15
Pm: 0.0000 0.5000 0.6878 [2 per cell]  8 Ge 3.21-3.58, 4 Al 3.27
Al: 0.0000 0.5000 0.1172 [2 per cell]  3 Ge 2.47-2.54
Ge: 0.0000 0.0000 0.5364 [2 per cell]  2 Al 2.54
Ge: 0.0000 0.0000 0.8380 [2 per cell]  2 Ge 2.62
Ge: 0.0000 0.5000 0.2497 [2 per cell]  1 Al 2.47, 2 Ge 2.62

Output
The energy relative to the elements comes out at -0.759 eV/atom. Its energy above the most stable polymorph in this dataset is 0.0 meV per atom. For the theoretical density, the calculation gives 6.75 g/cm³.



Density functional theory data (GGA-PBE) for a geometry-optimized TiRuN structure.

abc: 2.8592 4.6452 5.2422
angles: 90.00 90.00 90.00
Closest atoms and distances in Å follow each position.
Space group Pmc2_1 (No. 26)
One atom of each set of equivalent atoms:
Ti: 0.0000 0.0858 0.0000 [2 per cell]  4 N 2.11-2.14
Ru: 0.5000 0.4384 0.6100 [2 per cell]  2 N 2.09-2.12
N: 0.5000 0.1582 0.2973 [2 per cell]  2 Ru 2.09-2.12, 4 Ti 2.11-2.14

Output
Its energy above the most stable polymorph in this dataset is 207.4 meV per atom. For the theoretical density, the calculation gives 7.77 g/cm³. The formation energy from raw total energies is -0.625 eV/atom.



Density functional theory data (GGA-PBE) for a geometry-optimized HfPtRh structure.

abc: 3.0166 3.0166 13.3849
angles: 90.00 90.00 90.00
Closest atoms and distances in Å follow each position.
Space group I4mm (No. 107)
One atom of each set of equivalent atoms:
Hf: 0.0000 0.0000 0.0000 [2 per cell]  1 Pt 2.47, 4 Rh 2.62
Pt: 0.0000 0.0000 0.8154 [2 per cell]  1 Hf 2.47, 1 Rh 2.70
Rh: 0.0000 0.0000 0.6139 [2 per cell]  4 Hf 2.62, 1 Pt 2.70

Output
The energy relative to the elements comes out at -0.090 eV/atom. Its energy above the most stable polymorph in this dataset is 875.5 meV per atom. For the theoretical density, the calculation gives 12.99 g/cm³.



Density functional theory data (GGA-PBE) for a geometry-optimized V4Re2Ir structure.

abc: 4.5255 4.5255 12.3780
angles: 90.00 90.00 90.00
Closest atoms and distances in Å follow each position.
Space group I4/mmm (No. 139)
One atom of each set of equivalent atoms:
V: 0.0000 0.0000 0.1988 [4 per cell]  1 Re 2.32, 1 Ir 2.46
V: 0.0000 0.5000 0.0000 [4 per cell]  2 Ir 2.26
Re: 0.0000 0.0000 0.3860 [4 per cell]  1 V 2.32
Ir: 0.0000 0.0000 0.0000 [2 per cell]  6 V 2.26-2.46

Output
The energy relative to the elements comes out at 1.127 eV/atom. For the theoretical density, the calculation gives 10.07 g/cm³.



Density functional theory data (GGA-PBE) for a geometry-optimized YZr2Hg structure.

abc: 3.3672 5.2091 5.5005
angles: 90.00 90.00 90.00
Closest atoms and distances in Å follow each position.
Space group Pmmm (No. 47)
One atom of each set of equivalent atoms:
Y: 0.0000 0.0000 0.0000 [1 per cell]  4 Hg 3.10, 4 Zr 3.22, 2 Y 3.37
Zr: 0.0000 0.5000 0.5000 [1 per cell]  6 Zr 3.10-3.37, 4 Hg 3.22
Zr: 0.5000 0.0000 0.5000 [1 per cell]  6 Zr 3.10-3.37, 4 Y 3.22
Hg: 0.5000 0.5000 0.0000 [1 per cell]  4 Y 3.10, 4 Zr 3.22, 2 Hg 3.37

Output
The energy relative to the elements comes out at -0.028 eV/atom. For the theoretical density, the calculation gives 8.12 g/cm³.



Please write out number 1 again, unchanged.
Density functional theory data (GGA-PBE) for a geometry-optimized Nd8Te4As3Br structure.

abc: 8.7117 8.7117 21.9122
angles: 90.00 90.00 120.00
Closest atoms and distances in Å follow each position.
Space group R-3m (No. 166, hexagonal axes)
One atom of each set of equivalent atoms:
Nd: 0.0000 0.0000 0.2396 [6 per cell]  3 As 2.98, 3 Te 3.25
Nd: 0.0162 0.5081 0.7588 [18 per cell]  2 As 2.95, 1 Br 3.10, 3 Te 3.13-3.28
Te: 0.0000 0.0000 0.0000 [3 per cell]  6 Nd 3.13
Te: 0.0000 0.5000 0.0000 [9 per cell]  6 Nd 3.25-3.28
As: 0.0000 0.5000 0.5000 [9 per cell]  6 Nd 2.95-2.98
Br: 0.0000 0.0000 0.5000 [3 per cell]  6 Nd 3.10

Output
For the theoretical density, the calculation gives 6.81 g/cm³. The formation energy from raw total energies is -1.480 eV/atom.



The highest theoretical density belongs to which entry?
AgSbPt2



Repeat the first record exactly.
Density functional theory data (GGA-PBE) for a geometry-optimized Nd8Te4As3Br structure.

abc: 8.7117 8.7117 21.9122
angles: 90.00 90.00 120.00
Closest atoms and distances in Å follow each position.
Space group R-3m (No. 166, hexagonal axes)
One atom of each set of equivalent atoms:
Nd: 0.0000 0.0000 0.2396 [6 per cell]  3 As 2.98, 3 Te 3.25
Nd: 0.0162 0.5081 0.7588 [18 per cell]  2 As 2.95, 1 Br 3.10, 3 Te 3.13-3.28
Te: 0.0000 0.0000 0.0000 [3 per cell]  6 Nd 3.13
Te: 0.0000 0.5000 0.0000 [9 per cell]  6 Nd 3.25-3.28
As: 0.0000 0.5000 0.5000 [9 per cell]  6 Nd 2.95-2.98
Br: 0.0000 0.0000 0.5000 [3 per cell]  6 Nd 3.10

Output
For the theoretical density, the calculation gives 6.81 g/cm³. The formation energy from raw total energies is -1.480 eV/atom.



Which value of theoretical density does entry 2 give?
7.30 g/cm³